Record 1
# HoPbAu2, relaxed, DFT GGA-PBE
data_HoPbAu2
_chemical_formula_sum 'Ho1 Pb1 Au2'
_cell_length_a 4.707
_cell_length_b 4.707
_cell_length_c 4.126
_cell_angle_alpha 90.00
_cell_angle_beta 90.00
_cell_angle_gamma 90.00
_symmetry_space_group_name_H-M 'P 4/m m m'
_symmetry_Int_Tables_number 123
_symmetry_space_group_name_Hall '-P 4 2'
loop_
_atom_site_label
_atom_site_type_symbol
_atom_site_fract_x
_atom_site_fract_y
_atom_site_fract_z
_atom_site_occupancy
Ho1 Ho 0.000 0.000 0.000 1
Pb1 Pb 0.500 0.500 0.000 1
Au1 Au 0.000 0.500 0.500 1
# Magnetic moment ... 0.00 μB per cell
# Crystal system ... tetragonal
# ΔE_f ... -0.50 eV/atom

Record 2
# HfTlHg2, relaxed, DFT GGA-PBE
data_HfTlHg2
_chemical_formula_sum 'Hf4 Tl4 Hg8'
_cell_length_a 7.228
_cell_length_b 7.228
_cell_length_c 7.228
_cell_angle_alpha 90.00
_cell_angle_beta 90.00
_cell_angle_gamma 90.00
_symmetry_space_group_name_H-M 'F m -3 m'
_symmetry_Int_Tables_number 225
_symmetry_space_group_name_Hall '-F 4 2 3'
loop_
_atom_site_label
_atom_site_type_symbol
_atom_site_fract_x
_atom_site_fract_y
_atom_site_fract_z
_atom_site_occupancy
Hf1 Hf 0.000 0.000 0.000 1
Tl1 Tl 0.000 0.000 0.500 1
Hg1 Hg 0.250 0.250 0.250 1
# Magnetic moment ... 0.00 μB per cell
# Crystal system ... cubic
# E above lowest polymorph ... 0.2294 eV/atom
# ΔE_f ... 0.30 eV/atom

Record 3
# BaInB3, relaxed, DFT GGA-PBE
data_BaInB3
_chemical_formula_sum 'Ba1 In1 B3'
_cell_length_a 4.688
_cell_length_b 4.688
_cell_length_c 4.688
_cell_angle_alpha 90.00
_cell_angle_beta 90.00
_cell_angle_gamma 90.00
_symmetry_space_group_name_H-M 'P m -3 m'
_symmetry_Int_Tables_number 221
_symmetry_space_group_name_Hall '-P 4 2 3'
loop_
_atom_site_label
_atom_site_type_symbol
_atom_site_fract_x
_atom_site_fract_y
_atom_site_fract_z
_atom_site_occupancy
Ba1 Ba 0.000 0.000 0.000 1
In1 In 0.500 0.500 0.500 1
B1 B 0.000 0.500 0.500 1
# Magnetic moment ... 0.00 μB per cell
# Crystal system ... cubic
# E above lowest polymorph ... 0.0000 eV/atom
# ΔE_f ... 1.55 eV/atom

Record 4
# NbSi2Hg, relaxed, DFT GGA-PBE
data_NbSi2Hg
_chemical_formula_sum 'Nb4 Si8 Hg4'
_cell_length_a 7.152
_cell_length_b 7.152
_cell_length_c 5.861
_cell_angle_alpha 90.00
_cell_angle_beta 90.00
_cell_angle_gamma 90.00
_symmetry_space_group_name_H-M 'I -4 2 d'
_symmetry_Int_Tables_number 122
_symmetry_space_group_name_Hall 'I -4 2bw'
loop_
_atom_site_label
_atom_site_type_symbol
_atom_site_fract_x
_atom_site_fract_y
_atom_site_fract_z
_atom_site_occupancy
Nb1 Nb 0.000 0.000 0.000 1
Si1 Si 0.247 0.250 0.125 1
Hg1 Hg 0.000 0.000 0.500 1
# Magnetic moment ... 0.00 μB per cell
# Crystal system ... tetragonal
# Formation energy (no corrections) ... 214 kJ/mol of formula units

Please write out number 3 again, unchanged.
# BaInB3, relaxed, DFT GGA-PBE
data_BaInB3
_chemical_formula_sum 'Ba1 In1 B3'
_cell_length_a 4.688
_cell_length_b 4.688
_cell_length_c 4.688
_cell_angle_alpha 90.00
_cell_angle_beta 90.00
_cell_angle_gamma 90.00
_symmetry_space_group_name_H-M 'P m -3 m'
_symmetry_Int_Tables_number 221
_symmetry_space_group_name_Hall '-P 4 2 3'
loop_
_atom_site_label
_atom_site_type_symbol
_atom_site_fract_x
_atom_site_fract_y
_atom_site_fract_z
_atom_site_occupancy
Ba1 Ba 0.000 0.000 0.000 1
In1 In 0.500 0.500 0.500 1
B1 B 0.000 0.500 0.500 1
# Magnetic moment ... 0.00 μB per cell
# Crystal system ... cubic
# E above lowest polymorph ... 0.0000 eV/atom
# ΔE_f ... 1.55 eV/atom

What is the magnetic moment in the second record?
0.00 μB per cell